[1]
TlZnB | the Alexandria database | PBE | optimized geometry; ΔH_f (0 K) = 0.7288 eV per atom
1.0
9.2340 0.0000 0.0000
0.0000 3.9485 0.0000
0.0000 0.0000 6.1242
Tl B Zn
4 4 4
Cartesian
1.4470 0.9871 2.7318
3.1700 2.9614 5.7940
7.7870 2.9614 3.3924
6.0640 0.9871 0.3303
8.4475 0.9871 1.3380
5.4036 2.9614 4.4001
0.7865 2.9614 4.7863
3.8305 0.9871 1.7242
0.5029 0.9871 5.5015
4.1142 2.9614 2.4394
8.7312 2.9614 0.6228
5.1199 0.9871 3.6849


[2]
CaRu2CF | the Alexandria database | PBE | optimized geometry; energy relative to the elements, uncorrected = 2.536 eV/atom
1.0
-3.5382 -0.0648 3.5436
3.0324 -0.4943 3.0187
0.3613 4.9745 0.4517
Ru Ca C F
2 1 1 1
Cartesian
0.1806 2.4872 0.2258
-1.7691 -0.0324 1.7718
0.0000 0.0000 0.0000
1.5162 -0.2472 1.5094
-0.0723 2.2076 3.5070


no.,density of states at the Fermi level (states/eV per cell)
1,4.98
2,6.22